# 1
# GGA-PBE CaYFe2N, relaxed
data_CaYFe2N
_chemical_formula_sum 'Ca1 Y1 Fe2 N1'
_cell_length_a 4.562
_cell_length_b 4.562
_cell_length_c 6.804
_cell_angle_alpha 90.00
_cell_angle_beta 90.00
_cell_angle_gamma 90.00
_symmetry_space_group_name_H-M 'P 4/m m m'
_symmetry_Int_Tables_number 123
_symmetry_space_group_name_Hall '-P 4 2'
loop_
_atom_site_label
_atom_site_fract_x
_atom_site_fract_y
_atom_site_fract_z
_atom_site_occupancy
Ca1 0.000 0.000 0.000 1
Y1 0.000 0.000 0.500 1
Fe1 0.000 0.500 0.500 1
N1 0.500 0.500 0.000 1
# DOS(E_F) (states/eV/atom): 1.884
# Formation energy without anion corrections (eV per formula unit): 11.0


# 2
# GGA-PBE Th6RuC3S2, relaxed
data_Th6RuC3S2
_chemical_formula_sum 'Th12 Ru2 C6 S4'
_cell_length_a 17.238
_cell_length_b 3.833
_cell_length_c 8.103
_cell_angle_alpha 90.00
_cell_angle_beta 105.17
_cell_angle_gamma 90.00
_symmetry_space_group_name_H-M 'C 1 2/m 1'
_symmetry_Int_Tables_number 12
_symmetry_space_group_name_Hall '-C 2y'
loop_
_atom_site_label
_atom_site_fract_x
_atom_site_fract_y
_atom_site_fract_z
_atom_site_occupancy
Th1 0.008 0.000 0.236 1
Th2 0.160 0.500 0.104 1
Th3 0.170 0.500 0.561 1
Ru1 0.000 0.500 0.500 1
C1 0.000 0.500 0.000 1
C2 0.169 0.000 0.329 1
S1 0.168 0.000 0.837 1
# DOS(E_F) (states/eV/atom): 0.423
# Formation energy without anion corrections (eV per formula unit): -10.4


# 3
# GGA-PBE LiTmCrCl6, relaxed
data_LiTmCrCl6
_chemical_formula_sum 'Li2 Tm2 Cr2 Cl12'
_cell_length_a 6.4531
_cell_length_b 6.4531
_cell_length_c 11.9565
_cell_angle_alpha 90.00
_cell_angle_beta 90.00
_cell_angle_gamma 120.00
_symmetry_space_group_name_H-M 'P -3 1 c'
_symmetry_Int_Tables_number 163
_symmetry_space_group_name_Hall '-P 3 2c'
loop_
_atom_site_label
_atom_site_fract_x
_atom_site_fract_y
_atom_site_fract_z
_atom_site_occupancy
Li1 0.0000 0.0000 0.0000 1
Tm1 0.3333 0.6667 0.2500 1
Cr1 0.3333 0.6667 0.7500 1
Cl1 0.0115 0.3491 0.6290 1
# DOS(E_F) (states/eV/atom): 0.797
# Formation energy without anion corrections (eV per formula unit): -15.1


# 4
# GGA-PBE Ce2CoP3Ir4, relaxed
data_Ce2CoP3Ir4
_chemical_formula_sum 'Ce2 Co1 P3 Ir4'
_cell_length_a 4.069
_cell_length_b 4.069
_cell_length_c 9.950
_cell_angle_alpha 90.00
_cell_angle_beta 90.00
_cell_angle_gamma 90.00
_symmetry_space_group_name_H-M 'P -4 m 2'
_symmetry_Int_Tables_number 115
_symmetry_space_group_name_Hall 'P -4 -2'
loop_
_atom_site_label
_atom_site_fract_x
_atom_site_fract_y
_atom_site_fract_z
_atom_site_occupancy
Ce1 0.000 0.500 0.245 1
Co1 0.500 0.500 0.000 1
P1 0.000 0.000 0.000 1
P2 0.000 0.500 0.637 1
Ir1 0.000 0.000 0.500 1
Ir2 0.000 0.500 0.870 1
Ir3 0.500 0.500 0.500 1
# DOS(E_F) (states/eV/atom): 0.737
# Calculated formation energy (eV per atom): -0.877